# 1
Compound: Sr5NdBi4
Source: Alexandria via LeMat-Bulk
Functional: GGA-PBE
Structure: optimized geometry

The structure in extended XYZ format:
```
10
Lattice="-1.6735 -5.1149 -0.7843 5.3897 -2.6330 5.6717 -10.5297 6.1251 1.3780" Properties=species:S:1:pos:R:3 pbc="T T T"
Sr -4.7970 -1.9495 4.0936
Sr -7.6403 -0.5824 1.2443
Sr 0.8268 -1.0404 5.0211
Sr 1.8581 -3.8739 2.4437
Sr -2.0166 0.3268 2.1718
Nd -0.8367 -2.5574 -0.3921
Bi -2.4801 -0.0559 5.6569
Bi -7.9252 -1.0122 4.6556
Bi -4.3334 -1.5668 0.6085
Bi 1.1117 -0.6106 1.6098
```

Values from the calculation:
Spin magnetization: 0.2 μB/cell
DFT total energy: -3.6252 eV per atom
Crystal system: monoclinic

# 2
Compound: La3As2
Source: Alexandria via LeMat-Bulk
Functional: GGA-PBE
Structure: optimized geometry

The structure in extended XYZ format:
```
10
Lattice="0.0000 4.8576 7.6450 3.8225 0.0000 7.6450 3.8225 4.8576 0.0000" Properties=species:S:1:pos:R:3 pbc="T T T"
La 4.2019 5.6523 6.0184
La 4.2019 4.0628 9.2715
La 6.1131 8.0811 13.0940
La 6.1131 6.4916 9.8409
La 0.8059 4.8576 7.6450
La 2.7172 2.4288 3.8225
As 3.0401 2.7114 6.8738
As 3.0401 7.0038 8.4161
As 4.9514 5.1402 12.2386
As 4.9514 4.5750 3.0513
```

Values from the calculation:
Spin magnetization: 0.0 μB/cell
Relative energy among the computed polymorphs: 96.1 meV/atom
Crystal system: orthorhombic

# 3
Compound: Rb2Ba2Mg
Source: Alexandria via LeMat-Bulk
Functional: GGA-PBE
Structure: optimized geometry

The structure in extended XYZ format:
```
10
Lattice="9.5057 0.0000 0.0000 0.0000 9.5057 0.0000 0.0000 0.0000 7.6701" Properties=species:S:1:pos:R:3 pbc="T T T"
Mg 0.0000 0.0000 0.0000
Mg 4.7529 4.7529 0.0000
Ba 3.2147 7.9676 0.0000
Ba 7.9676 6.2910 0.0000
Ba 6.2910 1.5381 0.0000
Ba 1.5381 3.2147 0.0000
Rb 1.6424 6.3952 3.8351
Rb 6.3952 7.8634 3.8351
Rb 7.8634 3.1105 3.8351
Rb 3.1105 1.6424 3.8351
```

Values from the calculation:
Spin magnetization: 0.0 μB/cell
DFT total energy: -1.2438 eV per atom
Crystal system: tetragonal